1.
First-principles (PBE) data for a relaxed Hf2SbS crystal, as listed in Alexandria via LeMat-Bulk.

Calculated values
total DFT energy (no corrections)	-7.865	eV/atom

Cell and atoms, written as extended XYZ:
```
4
Lattice="1.913 1.104 6.491 -1.913 1.104 6.491 0.000 -2.209 6.491" Properties=species:S:1:pos:R:3 pbc="T T T"
Hf 0.000 0.000 4.491
Hf 0.000 0.000 14.981
Sb 0.000 0.000 0.000
S 0.000 0.000 9.736
```



2.
First-principles (PBE) data for a relaxed Y6Er3ThSc2 crystal, as listed in Alexandria via LeMat-Bulk.

Calculated values
formation energy	0.05	eV per atom

Cell and atoms, written as extended XYZ:
```
12
Lattice="3.032 -5.249 0.000 3.032 5.249 0.000 -2.017 0.000 11.506" Properties=species:S:1:pos:R:3 pbc="T T T"
Y 1.016 1.747 2.835
Y -0.003 0.000 8.671
Y 1.016 -1.747 2.835
Y 3.031 1.747 8.672
Y 4.050 0.000 2.835
Y 3.031 -1.747 8.672
Er 2.023 3.489 5.753
Er 2.023 0.000 5.753
Er 2.023 -3.489 5.753
Th 0.000 0.000 0.000
Sc 3.032 1.750 0.000
Sc 3.032 -1.750 0.000
```



3.
First-principles (PBE) data for a relaxed Zr2CdP crystal, as listed in Alexandria via LeMat-Bulk.

Calculated values
formation energy	-0.39	eV per atom

Cell and atoms, written as extended XYZ:
```
4
Lattice="3.923 0.000 0.000 0.000 3.923 0.000 0.000 0.000 5.544" Properties=species:S:1:pos:R:3 pbc="T T T"
Zr 0.000 0.000 0.000
Zr 1.961 1.961 2.772
Cd 0.000 0.000 2.772
P 1.961 1.961 0.000
```



4.
First-principles (PBE) data for a relaxed TeP2Au crystal, as listed in Alexandria via LeMat-Bulk.

Calculated values
total DFT energy (no corrections)	-3.614	eV/atom

Cell and atoms, written as extended XYZ:
```
4
Lattice="-2.396 2.396 3.339 2.396 -2.396 3.339 2.396 2.396 -3.339" Properties=species:S:1:pos:R:3 pbc="T T T"
Te 0.000 0.000 0.000
P 0.000 0.000 3.339
P 0.000 2.396 1.670
Au 2.396 0.000 1.670
```



5.
First-principles (PBE) data for a relaxed ZnB2Au crystal, as listed in Alexandria via LeMat-Bulk.

Calculated values
formation energy	1.05	eV per atom

Cell and atoms, written as extended XYZ:
```
8
Lattice="-2.682 2.682 4.142 2.682 -2.682 4.142 2.682 2.682 -4.142" Properties=species:S:1:pos:R:3 pbc="T T T"
Zn 0.000 0.000 0.000
Zn 0.000 2.682 2.071
B 1.341 -1.299 3.106
B 1.383 1.341 1.035
B 1.341 3.981 -1.035
B 1.299 1.341 5.177
Au 2.682 0.000 2.071
Au 0.000 0.000 4.142
```



6.
First-principles (PBE) data for a relaxed Cu2HgP crystal, as listed in Alexandria via LeMat-Bulk.

Calculated values
formation energy	0.15	eV per atom

Cell and atoms, written as extended XYZ:
```
4
Lattice="-1.431 1.886 6.342 1.431 -1.886 6.342 1.431 1.886 -6.342" Properties=species:S:1:pos:R:3 pbc="T T T"
Cu 0.000 0.000 0.000
Cu 0.000 1.886 2.174
Hg 1.431 0.000 3.662
P 0.000 0.000 6.643
```